1.
{
  "formula": "Y2CdCuRh",
  "functional": "PBE",
  "state": "relaxed",
  "lattice_angstrom": [[-0.546, 3.570, -4.178], [-3.932, 1.470, 1.770], [2.735, 3.819, 2.905]],
  "species": ["Cu", "Cd", "Rh", "Y", "Y"],
  "frac_coords": [[0.000, 0.500, 0.000], [0.000, 0.000, 0.000], [0.500, 0.500, 0.500], [0.000, 0.000, 0.500], [0.500, 0.000, 0.000]],
  "ef_mev_per_atom": 692,
  "spacegroup": "P4/mmm, No. 123"
}


2.
{
  "formula": "LiY2Si",
  "functional": "PBE",
  "state": "relaxed",
  "lattice_angstrom": [[5.971, -0.004, -0.001], [3.008, 5.158, 0.001], [-4.263, -2.971, 2.941]],
  "species": ["Li", "Si", "Y", "Y"],
  "frac_coords": [[0.453, 0.453, 0.000], [0.282, 0.782, 0.500], [0.017, 0.017, 0.000], [0.748, 0.248, 0.500]],
  "e_form_raw_kj_per_mol_atoms": -26.4,
  "spacegroup": "Imm2, No. 44"
}